No. 1
## Tb2DyIr3 (PBE-GGA)

Data for crystalline Tb2DyIr3 at its relaxed geometry.

- crystal system = orthorhombic
- energy of formation (meV/atom) = -418.5
- space group = Immm (71)
- total moment (μB/f.u.) = 0.00
- relative energy among the computed polymorphs (meV/atom) = 374.2
- Fermi-level density of states (states/eV per cell) = 4.3

a = 3.995 Å, b = 5.689 Å, c = 12.137 Å
α = 90.00°, β = 90.00°, γ = 90.00°
Positions (direct):
Tb: 0.000 0.000 0.167
Tb: 0.000 0.000 0.833
Tb: 0.500 0.500 0.333
Tb: 0.500 0.500 0.667
Dy: 0.000 0.000 0.500
Dy: 0.500 0.500 0.000
Ir: 0.000 0.500 0.165
Ir: 0.000 0.500 0.500
Ir: 0.000 0.500 0.835
Ir: 0.500 0.000 0.000
Ir: 0.500 0.000 0.335
Ir: 0.500 0.000 0.665

No. 2
## TbDy2Ir (PBE-GGA)

Data for crystalline TbDy2Ir at its relaxed geometry.

- crystal system = orthorhombic
- energy of formation (meV/atom) = -537.3
- space group = Cmcm (63)
- total moment (μB/f.u.) = 0.00
- relative energy among the computed polymorphs (meV/atom) = 38.5
- Fermi-level density of states (states/eV per cell) = 19.1

a = 3.892 Å, b = 12.080 Å, c = 9.149 Å
α = 90.00°, β = 90.00°, γ = 90.00°
Positions (direct):
Tb: 0.000 0.075 0.250
Tb: 0.000 0.925 0.750
Tb: 0.500 0.425 0.750
Tb: 0.500 0.575 0.250
Dy: 0.000 0.358 0.067
Dy: 0.000 0.358 0.433
Dy: 0.000 0.642 0.567
Dy: 0.000 0.642 0.933
Dy: 0.500 0.142 0.567
Dy: 0.500 0.142 0.933
Dy: 0.500 0.858 0.067
Dy: 0.500 0.858 0.433
Ir: 0.000 0.251 0.750
Ir: 0.000 0.749 0.250
Ir: 0.500 0.249 0.250
Ir: 0.500 0.751 0.750

No. 3
## TbDy5Ir6 (PBE-GGA)

Data for crystalline TbDy5Ir6 at its relaxed geometry.

- crystal system = monoclinic
- energy of formation (meV/atom) = -811.7
- space group = P2/m (10)
- total moment (μB/f.u.) = 0.00
- Fermi-level density of states (states/eV per cell) = 3.6

a = 4.739 Å, b = 7.164 Å, c = 7.496 Å
α = 90.00°, β = 108.35°, γ = 90.00°
Positions (direct):
Tb: 0.000 0.000 0.000
Dy: 0.000 0.500 0.000
Dy: 0.333 0.000 0.666
Dy: 0.333 0.500 0.667
Dy: 0.667 0.000 0.334
Dy: 0.667 0.500 0.333
Ir: 0.167 0.250 0.334
Ir: 0.167 0.750 0.334
Ir: 0.500 0.251 0.000
Ir: 0.500 0.749 0.000
Ir: 0.833 0.250 0.666
Ir: 0.833 0.750 0.666

No. 4
## Tb3DyIr8 (PBE-GGA)

Data for crystalline Tb3DyIr8 at its relaxed geometry.

- crystal system = trigonal
- energy of formation (meV/atom) = -805.7
- space group = R3m (160)
- total moment (μB/f.u.) = 0.00
- relative energy among the computed polymorphs (meV/atom) = 0.0
- Fermi-level density of states (states/eV per cell) = 9.3

a = 9.291 Å, b = 9.291 Å, c = 9.291 Å
α = 33.59°, β = 33.59°, γ = 33.59°
Positions (direct):
Tb: 0.000 0.000 0.000
Tb: 0.125 0.125 0.125
Tb: 0.625 0.625 0.625
Dy: 0.500 0.500 0.500
Ir: 0.062 0.062 0.562
Ir: 0.062 0.562 0.062
Ir: 0.063 0.562 0.562
Ir: 0.312 0.312 0.312
Ir: 0.562 0.062 0.062
Ir: 0.562 0.063 0.562
Ir: 0.562 0.562 0.063
Ir: 0.812 0.812 0.812

No. 5
## TbDy2Ir2 (PBE-GGA)

Data for crystalline TbDy2Ir2 at its relaxed geometry.

- crystal system = orthorhombic
- energy of formation (meV/atom) = -644.1
- space group = Cmc2_1 (36)
- total moment (μB/f.u.) = 0.00
- relative energy among the computed polymorphs (meV/atom) = 136.6
- Fermi-level density of states (states/eV per cell) = 4.9

a = 8.636 Å, b = 8.636 Å, c = 7.290 Å
α = 90.00°, β = 90.00°, γ = 153.34°
Positions (direct):
Tb: 0.121 0.879 0.500
Tb: 0.879 0.121 0.000
Dy: 0.312 0.688 0.388
Dy: 0.468 0.532 0.668
Dy: 0.532 0.468 0.168
Dy: 0.688 0.312 0.888
Ir: 0.053 0.947 0.868
Ir: 0.305 0.695 0.790
Ir: 0.695 0.305 0.290
Ir: 0.947 0.053 0.368

No. 6
## Tb3DyIr2 (PBE-GGA)

Data for crystalline Tb3DyIr2 at its relaxed geometry.

- crystal system = orthorhombic
- energy of formation (meV/atom) = -630.4
- space group = Ibam (72)
- total moment (μB/f.u.) = 0.00
- Fermi-level density of states (states/eV per cell) = 10.3

a = 8.388 Å, b = 8.388 Å, c = 8.388 Å
α = 132.30°, β = 71.50°, γ = 130.11°
Positions (direct):
Tb: 0.015 0.750 0.265
Tb: 0.250 0.250 0.000
Tb: 0.485 0.750 0.735
Tb: 0.515 0.250 0.265
Tb: 0.750 0.750 0.000
Tb: 0.985 0.250 0.735
Dy: 0.000 0.500 0.500
Dy: 0.500 0.000 0.500
Ir: 0.138 0.214 0.352
Ir: 0.362 0.714 0.076
Ir: 0.638 0.286 0.924
Ir: 0.862 0.786 0.648

No. 7
## TbDyIr2 (PBE-GGA)

Data for crystalline TbDyIr2 at its relaxed geometry.

- crystal system = tetragonal
- energy of formation (meV/atom) = -801.2
- space group = P4/mmm (123)
- total moment (μB/f.u.) = 0.00
- relative energy among the computed polymorphs (meV/atom) = 0.0
- Fermi-level density of states (states/eV per cell) = 0.7

a = 4.747 Å, b = 4.747 Å, c = 3.590 Å
α = 90.00°, β = 90.00°, γ = 90.00°
Positions (direct):
Tb: 0.000 0.000 0.000
Dy: 0.500 0.500 0.000
Ir: 0.000 0.500 0.500
Ir: 0.500 0.000 0.500

No. 8
## TbDyIr2 (PBE-GGA)

Data for crystalline TbDyIr2 at its relaxed geometry.

- crystal system = orthorhombic
- energy of formation (meV/atom) = -795.1
- space group = Pmma (51)
- total moment (μB/f.u.) = 0.00
- relative energy among the computed polymorphs (meV/atom) = 6.1
- Fermi-level density of states (states/eV per cell) = 4.7

a = 4.938 Å, b = 3.323 Å, c = 9.874 Å
α = 90.00°, β = 90.00°, γ = 90.00°
Positions (direct):
Tb: 0.250 0.000 0.125
Tb: 0.750 0.000 0.875
Dy: 0.250 0.000 0.625
Dy: 0.750 0.000 0.375
Ir: 0.250 0.500 0.376
Ir: 0.250 0.500 0.874
Ir: 0.750 0.500 0.126
Ir: 0.750 0.500 0.624

No. 9
## TbDyIr2 (PBE-GGA)

Data for crystalline TbDyIr2 at its relaxed geometry.

- crystal system = cubic
- energy of formation (meV/atom) = -796.2
- space group = Fm-3m (225)
- total moment (μB/f.u.) = 0.00
- relative energy among the computed polymorphs (meV/atom) = 5.0
- Fermi-level density of states (states/eV per cell) = 9.8

a = 6.871 Å, b = 6.871 Å, c = 6.871 Å
α = 90.00°, β = 90.00°, γ = 90.00°
Positions (direct):
Tb: 0.000 0.000 0.000
Tb: 0.000 0.500 0.500
Tb: 0.500 0.000 0.500
Tb: 0.500 0.500 0.000
Dy: 0.000 0.000 0.500
Dy: 0.000 0.500 0.000
Dy: 0.500 0.000 0.000
Dy: 0.500 0.500 0.500
Ir: 0.250 0.250 0.250
Ir: 0.250 0.250 0.750
Ir: 0.250 0.750 0.250
Ir: 0.250 0.750 0.750
Ir: 0.750 0.250 0.250
Ir: 0.750 0.250 0.750
Ir: 0.750 0.750 0.250
Ir: 0.750 0.750 0.750

No. 10
## Tb3DyIr8 (PBE-GGA)

Data for crystalline Tb3DyIr8 at its relaxed geometry.

- crystal system = trigonal
- energy of formation (meV/atom) = -803.3
- space group = P3m1 (156)
- total moment (μB/f.u.) = 0.00
- relative energy among the computed polymorphs (meV/atom) = 2.4
- Fermi-level density of states (states/eV per cell) = 3.8

a = 5.370 Å, b = 5.370 Å, c = 8.726 Å
α = 90.00°, β = 90.00°, γ = 120.00°
Positions (direct):
Tb: 0.000 0.000 0.000
Tb: 0.000 0.000 0.366
Tb: 0.333 0.667 0.865
Dy: 0.333 0.667 0.500
Ir: 0.006 0.503 0.183
Ir: 0.327 0.164 0.682
Ir: 0.497 0.503 0.183
Ir: 0.497 0.994 0.183
Ir: 0.667 0.333 0.433
Ir: 0.667 0.333 0.933
Ir: 0.836 0.164 0.682
Ir: 0.836 0.673 0.682

No. 11
## Dy8TcIr2 (PBE-GGA)

Data for crystalline Dy8TcIr2 at its relaxed geometry.

- crystal system = monoclinic
- energy of formation (meV/atom) = -333.0
- space group = Cm (8)
- total moment (μB/f.u.) = 0.00
- Fermi-level density of states (states/eV per cell) = 8.6

a = 7.562 Å, b = 7.562 Å, c = 5.788 Å
α = 100.18°, β = 100.18°, γ = 112.99°
Positions (direct):
Dy: 0.000 0.000 0.000
Dy: 0.028 0.282 0.583
Dy: 0.137 0.569 0.186
Dy: 0.282 0.028 0.583
Dy: 0.432 0.685 0.777
Dy: 0.569 0.137 0.186
Dy: 0.685 0.432 0.777
Dy: 0.719 0.719 0.376
Tc: 0.360 0.360 0.282
Ir: 0.050 0.672 0.691
Ir: 0.672 0.050 0.691

No. 12
## DyThTcIr (PBE-GGA)

Data for crystalline DyThTcIr at its relaxed geometry.

- crystal system = cubic
- energy of formation (meV/atom) = -420.5
- space group = F-43m (216)
- total moment (μB/f.u.) = 0.00
- Fermi-level density of states (states/eV per cell) = 14.4

a = 6.999 Å, b = 6.999 Å, c = 6.999 Å
α = 90.00°, β = 90.00°, γ = 90.00°
Positions (direct):
Dy: 0.000 0.000 0.000
Dy: 0.000 0.500 0.500
Dy: 0.500 0.000 0.500
Dy: 0.500 0.500 0.000
Th: 0.000 0.000 0.500
Th: 0.000 0.500 0.000
Th: 0.500 0.000 0.000
Th: 0.500 0.500 0.500
Tc: 0.250 0.250 0.250
Tc: 0.250 0.750 0.750
Tc: 0.750 0.250 0.750
Tc: 0.750 0.750 0.250
Ir: 0.250 0.250 0.750
Ir: 0.250 0.750 0.250
Ir: 0.750 0.250 0.250
Ir: 0.750 0.750 0.750